--- 1 ---
# TbTm2Hf

An optimized crystal structure of TbTm2Hf (PBE, Alexandria).

Lattice parameters (Å, degrees): 3.9325 3.9325 7.3574 90.00 90.00 90.00
Last column: nearest neighbours and their distance in Å.
Space group P4/mmm (No. 123)
One atom of each set of equivalent atoms:
Tb 0.0000 0.0000 0.0000 [1 per cell]  8 Tm 3.46, 2 Hf 3.68
Tm 0.5000 0.5000 0.2797 [2 per cell]  4 Hf 3.22, 1 Tm 3.24, 4 Tb 3.46
Hf 0.0000 0.0000 0.5000 [1 per cell]  8 Tm 3.22

--- 2 ---
# TbTm2Hf

An optimized crystal structure of TbTm2Hf (PBE, Alexandria).

Lattice parameters (Å, degrees): 4.8053 4.8053 4.8139 90.00 90.00 90.00
Last column: nearest neighbours and their distance in Å.
Space group P4/mmm (No. 123)
One atom of each set of equivalent atoms:
Tb 0.0000 0.0000 0.0000 [1 per cell]  4 Hf 3.40, 8 Tm 3.40
Tm 0.0000 0.5000 0.5000 [2 per cell]  4 Tm 3.40, 4 Hf 3.40, 4 Tb 3.40
Hf 0.5000 0.5000 0.0000 [1 per cell]  4 Tb 3.40, 8 Tm 3.40

--- 3 ---
# TbTm2Hf

An optimized crystal structure of TbTm2Hf (PBE, Alexandria).

Lattice parameters (Å, degrees): 3.4176 3.4176 33.2348 90.00 90.00 120.00
Last column: nearest neighbours and their distance in Å.
Space group R3m (No. 160, hexagonal axes)
One atom of each set of equivalent atoms:
Tb 0.0000 0.0000 0.0000 [3 per cell]  6 Tb 3.42, 6 Tm 3.54-3.56
Tm 0.0000 0.0000 0.2450 [3 per cell]  3 Hf 3.25, 6 Tm 3.42, 3 Tb 3.54
Tm 0.0000 0.0000 0.4224 [3 per cell]  3 Hf 3.27, 6 Tm 3.42, 3 Tb 3.56
Hf 0.0000 0.0000 0.8340 [3 per cell]  6 Tm 3.25-3.27, 6 Hf 3.42

Which structure is the most stable? The one labeled 3.

--- 1 ---
# TbY2Hf

An optimized crystal structure of TbY2Hf (PBE, Alexandria).

Lattice parameters (Å, degrees): 3.9942 3.9942 7.3595 90.00 90.00 90.00
Last column: nearest neighbours and their distance in Å.
Space group P4/mmm (No. 123)
One atom of each set of equivalent atoms:
Tb 0.0000 0.0000 0.0000 [1 per cell]  8 Y 3.49, 2 Hf 3.68
Y 0.5000 0.5000 0.2778 [2 per cell]  4 Hf 3.26, 1 Y 3.27, 4 Tb 3.49
Hf 0.0000 0.0000 0.5000 [1 per cell]  8 Y 3.26

--- 2 ---
# TbY2Hf

An optimized crystal structure of TbY2Hf (PBE, Alexandria).

Lattice parameters (Å, degrees): 4.8600 4.8600 4.8781 90.00 90.00 90.00
Last column: nearest neighbours and their distance in Å.
Space group P4/mmm (No. 123)
One atom of each set of equivalent atoms:
Tb 0.0000 0.0000 0.0000 [1 per cell]  4 Hf 3.44, 8 Y 3.44
Y 0.0000 0.5000 0.5000 [2 per cell]  4 Y 3.44, 4 Hf 3.44, 4 Tb 3.44
Hf 0.5000 0.5000 0.0000 [1 per cell]  4 Tb 3.44, 8 Y 3.44

Which structure is the most stable? The one labeled 2.

--- 1 ---
# TbY2Hf

An optimized crystal structure of TbY2Hf (PBE, Alexandria).

Lattice parameters (Å, degrees): 3.4572 3.4572 33.6540 90.00 90.00 120.00
Last column: nearest neighbours and their distance in Å.
Space group R3m (No. 160, hexagonal axes)
One atom of each set of equivalent atoms:
Tb 0.0000 0.0000 0.0000 [3 per cell]  6 Tb 3.46, 6 Y 3.58-3.59
Y 0.0000 0.0000 0.2449 [3 per cell]  3 Hf 3.29, 6 Y 3.46, 3 Tb 3.58
Y 0.0000 0.0000 0.4220 [3 per cell]  3 Hf 3.31, 6 Y 3.46, 3 Tb 3.59
Hf 0.0000 0.0000 0.8337 [3 per cell]  6 Y 3.29-3.31, 6 Hf 3.46

--- 2 ---
# TbY2Hf

An optimized crystal structure of TbY2Hf (PBE, Alexandria).

Lattice parameters (Å, degrees): 3.4376 3.4376 33.9936 90.00 90.00 120.00
Last column: nearest neighbours and their distance in Å.
Space group R-3m (No. 166, hexagonal axes)
One atom of each set of equivalent atoms:
Tb 0.0000 0.0000 0.0000 [3 per cell]  6 Tb 3.44, 6 Y 3.61
Y 0.0000 0.0000 0.2445 [6 per cell]  3 Hf 3.31, 6 Y 3.44, 3 Tb 3.61
Hf 0.0000 0.0000 0.5000 [3 per cell]  6 Y 3.31, 6 Hf 3.44

Which structure is the most stable? The one labeled 1.

--- 1 ---
# TbHfZn

An optimized crystal structure of TbHfZn (PBE, Alexandria).

Lattice parameters (Å, degrees): 3.3307 3.3307 12.1483 90.00 90.00 90.00
Last column: nearest neighbours and their distance in Å.
Space group I4mm (No. 107)
One atom of each set of equivalent atoms:
Tb 0.0000 0.0000 0.0000 [2 per cell]  4 Zn 3.16, 4 Hf 3.29, 4 Tb 3.33
Hf 0.0000 0.0000 0.3112 [2 per cell]  4 Zn 2.89
Zn 0.0000 0.0000 0.6738 [2 per cell]  4 Hf 2.89, 4 Tb 3.16

--- 2 ---
# TbHfZn

An optimized crystal structure of TbHfZn (PBE, Alexandria).

Lattice parameters (Å, degrees): 4.8334 4.8334 3.4151 90.00 90.00 120.00
Last column: nearest neighbours and their distance in Å.
Space group P3m1 (No. 156)
One atom of each set of equivalent atoms:
Tb 0.0000 0.0000 0.0000 [1 per cell]  6 Zn 3.27-3.28, 6 Hf 3.27, 2 Tb 3.42
Hf 0.3333 0.6667 0.4991 [1 per cell]  3 Zn 2.79
Zn 0.6667 0.3333 0.5034 [1 per cell]  3 Hf 2.79

Which structure is the most stable? The one labeled 1.

--- 1 ---
# Tb2HfZn

An optimized crystal structure of Tb2HfZn (PBE, Alexandria).

Lattice parameters (Å, degrees): 3.2462 3.2462 33.9184 90.00 90.00 120.00
Last column: nearest neighbours and their distance in Å.
Space group R-3m (No. 166, hexagonal axes)
One atom of each set of equivalent atoms:
Tb 0.0000 0.0000 0.0954 [6 per cell]  3 Zn 3.06, 1 Hf 3.24, 6 Tb 3.25
Hf 0.0000 0.0000 0.0000 [3 per cell]  2 Tb 3.24, 6 Hf 3.25
Zn 0.0000 0.0000 0.5000 [3 per cell]  6 Tb 3.06, 6 Zn 3.25

--- 2 ---
# Tb2HfZn

An optimized crystal structure of Tb2HfZn (PBE, Alexandria).

Lattice parameters (Å, degrees): 3.3962 3.3962 8.5937 90.00 90.00 90.00
Last column: nearest neighbours and their distance in Å.
Space group P4/mmm (No. 123)
One atom of each set of equivalent atoms:
Tb 0.0000 0.0000 0.2314 [2 per cell]  4 Zn 3.12, 4 Hf 3.33, 4 Tb 3.40
Hf 0.5000 0.5000 0.5000 [1 per cell]  8 Tb 3.33, 4 Hf 3.40
Zn 0.5000 0.5000 0.0000 [1 per cell]  8 Tb 3.12, 4 Zn 3.40

Which structure is the most stable? The one labeled 2.

--- 1 ---
# TbHfZn4

An optimized crystal structure of TbHfZn4 (PBE, Alexandria).

Lattice parameters (Å, degrees): 3.2442 4.4262 7.6904 90.00 90.00 90.00
Last column: nearest neighbours and their distance in Å.
Space group Pmmm (No. 47)
One atom of each set of equivalent atoms:
Tb 0.0000 0.0000 0.0000 [1 per cell]  12 Zn 3.07-3.08, 2 Tb 3.24
Hf 0.0000 0.5000 0.5000 [1 per cell]  12 Zn 2.96-3.00, 2 Hf 3.24
Zn 0.5000 0.0000 0.3409 [2 per cell]  3 Zn 2.45-2.54
Zn 0.5000 0.5000 0.1776 [2 per cell]  3 Zn 2.54-2.73

--- 2 ---
# TbHfZn4

An optimized crystal structure of TbHfZn4 (PBE, Alexandria).

Lattice parameters (Å, degrees): 7.5465 7.5465 7.5465 90.00 90.00 90.00
Last column: nearest neighbours and their distance in Å.
Space group F-43m (No. 216)
One atom of each set of equivalent atoms:
Tb 0.0000 0.0000 0.0000 [4 per cell]  12 Zn 3.13, 4 Hf 3.27
Hf 0.2500 0.2500 0.7500 [4 per cell]  12 Zn 3.13, 4 Tb 3.27
Zn 0.1242 0.1242 0.3758 [16 per cell]  6 Zn 2.65-2.69

Which structure is the most stable? The one labeled 1.

--- 1 ---
# TbHfZr2

An optimized crystal structure of TbHfZr2 (PBE, Alexandria).

Lattice parameters (Å, degrees): 3.2754 3.2754 31.9388 90.00 90.00 120.00
Last column: nearest neighbours and their distance in Å.
Space group R3m (No. 160, hexagonal axes)
One atom of each set of equivalent atoms:
Tb 0.0000 0.0000 0.0000 [3 per cell]  6 Tb 3.28, 6 Zr 3.37-3.41
Hf 0.0000 0.0000 0.1672 [3 per cell]  6 Zr 3.14, 6 Hf 3.28
Zr 0.0000 0.0000 0.5792 [3 per cell]  3 Hf 3.14, 6 Zr 3.28, 3 Tb 3.37
Zr 0.0000 0.0000 0.7553 [3 per cell]  3 Hf 3.14, 6 Zr 3.28, 3 Tb 3.41

--- 2 ---
# TbHfZr2

An optimized crystal structure of TbHfZr2 (PBE, Alexandria).

Lattice parameters (Å, degrees): 3.2148 3.2148 33.9211 90.00 90.00 120.00
Last column: nearest neighbours and their distance in Å.
Space group R-3m (No. 166, hexagonal axes)
One atom of each set of equivalent atoms:
Tb 0.0000 0.0000 0.0000 [3 per cell]  2 Zr 3.16, 6 Tb 3.21
Hf 0.0000 0.0000 0.5000 [3 per cell]  6 Zr 3.11, 6 Hf 3.21
Zr 0.0000 0.0000 0.0933 [6 per cell]  3 Hf 3.11, 1 Tb 3.16, 6 Zr 3.21

--- 3 ---
# TbHfZr2

An optimized crystal structure of TbHfZr2 (PBE, Alexandria).

Lattice parameters (Å, degrees): 3.7809 3.7809 6.9775 90.00 90.00 90.00
Last column: nearest neighbours and their distance in Å.
Space group P4/mmm (No. 123)
One atom of each set of equivalent atoms:
Tb 0.0000 0.0000 0.0000 [1 per cell]  8 Zr 3.35, 2 Hf 3.49
Hf 0.0000 0.0000 0.5000 [1 per cell]  8 Zr 3.05
Zr 0.5000 0.5000 0.2886 [2 per cell]  1 Zr 2.95, 4 Hf 3.05

Which structure is the most stable? The one labeled 1.

--- 1 ---
# Hf2TcTe2

An optimized crystal structure of Hf2TcTe2 (PBE, Alexandria).

Lattice parameters (Å, degrees): 4.0335 4.0335 15.5548 90.00 90.00 90.00
Last column: nearest neighbours and their distance in Å.
Space group I4/mmm (No. 139)
One atom of each set of equivalent atoms:
Hf 0.0000 0.5000 0.2500 [4 per cell]  4 Hf 2.85, 4 Te 2.99
Tc 0.0000 0.0000 0.0000 [2 per cell]  8 Te 3.31
Te 0.0000 0.0000 0.3923 [4 per cell]  4 Hf 2.99, 4 Tc 3.31, 1 Te 3.35

--- 2 ---
# Hf2TcTe2

An optimized crystal structure of Hf2TcTe2 (PBE, Alexandria).

Lattice parameters (Å, degrees): 7.4505 7.4505 3.7995 90.00 90.00 90.00
Last column: nearest neighbours and their distance in Å.
Space group P4/mbm (No. 127)
One atom of each set of equivalent atoms:
Hf 0.1468 0.3532 0.0000 [4 per cell]  6 Te 2.81-2.95, 1 Hf 3.09
Tc 0.0000 0.0000 0.5000 [2 per cell]  4 Te 2.81
Te 0.1562 0.6562 0.5000 [4 per cell]  2 Tc 2.81, 6 Hf 2.81-2.95

Which structure is the most stable? The one labeled 2.

--- 1 ---
# HfTc3Te

An optimized crystal structure of HfTc3Te (PBE, Alexandria).

Lattice parameters (Å, degrees): 4.7465 4.7465 4.7465 90.00 90.00 90.00
Last column: nearest neighbours and their distance in Å.
Space group Pm-3m (No. 221)
One atom of each set of equivalent atoms:
Hf 0.0000 0.0000 0.0000 [1 per cell]  12 Tc 3.36
Tc 0.0000 0.5000 0.5000 [3 per cell]  2 Te 2.37
Te 0.5000 0.5000 0.5000 [1 per cell]  6 Tc 2.37

--- 2 ---
# HfTc3Te

An optimized crystal structure of HfTc3Te (PBE, Alexandria).

Lattice parameters (Å, degrees): 4.8200 4.8200 4.8200 90.00 90.00 90.00
Last column: nearest neighbours and their distance in Å.
Space group Pm-3m (No. 221)
One atom of each set of equivalent atoms:
Hf 0.0000 0.0000 0.0000 [1 per cell]  6 Tc 2.41
Tc 0.0000 0.0000 0.5000 [3 per cell]  2 Hf 2.41
Te 0.5000 0.5000 0.5000 [1 per cell]  12 Tc 3.41

Which structure is the most stable? The one labeled 1.

--- 1 ---
# HfThTc2

An optimized crystal structure of HfThTc2 (PBE, Alexandria).

Lattice parameters (Å, degrees): 3.4094 3.4094 6.7809 90.00 90.00 90.00
Last column: nearest neighbours and their distance in Å.
Space group P4/mmm (No. 123)
One atom of each set of equivalent atoms:
Hf 0.0000 0.0000 0.0000 [1 per cell]  8 Tc 2.90
Th 0.0000 0.0000 0.5000 [1 per cell]  8 Tc 2.99
Tc 0.5000 0.5000 0.2389 [2 per cell]  4 Hf 2.90, 4 Th 2.99, 1 Tc 3.24

--- 2 ---
# HfThTc2

An optimized crystal structure of HfThTc2 (PBE, Alexandria).

Lattice parameters (Å, degrees): 3.3572 3.3572 25.0576 90.00 90.00 120.00
Last column: nearest neighbours and their distance in Å.
Space group R-3m (No. 166, hexagonal axes)
One atom of each set of equivalent atoms:
Hf 0.0000 0.0000 0.0000 [3 per cell]  6 Tc 2.80
Th 0.0000 0.0000 0.5000 [3 per cell]  6 Tc 2.90
Tc 0.0000 0.0000 0.2527 [6 per cell]  3 Hf 2.80, 3 Th 2.90

Which structure is the most stable? The one labeled 1.

--- 1 ---
# HfTiTc

An optimized crystal structure of HfTiTc (PBE, Alexandria).

Lattice parameters (Å, degrees): 9.9755 4.4895 5.5953 90.00 123.50 90.00
Last column: nearest neighbours and their distance in Å.
Space group C2/m (No. 12)
One atom of each set of equivalent atoms:
Hf 0.1757 0.0000 0.1006 [4 per cell]  4 Tc 2.75-2.85, 3 Ti 3.00-3.05, 1 Hf 3.03
Ti 0.0314 0.5000 0.2832 [4 per cell]  3 Tc 2.66-2.72, 2 Ti 2.82-2.87
Tc 0.1603 0.0000 0.5760 [4 per cell]  3 Ti 2.66-2.72, 4 Hf 2.75-2.85, 1 Tc 2.82

--- 2 ---
# HfTiTc

An optimized crystal structure of HfTiTc (PBE, Alexandria).

Lattice parameters (Å, degrees): 3.2265 3.2265 10.0170 90.00 90.00 90.00
Last column: nearest neighbours and their distance in Å.
Space group I4mm (No. 107)
One atom of each set of equivalent atoms:
Hf 0.0000 0.0000 0.0000 [2 per cell]  4 Tc 2.81, 5 Ti 3.02-3.03
Ti 0.0000 0.0000 0.6986 [2 per cell]  4 Tc 2.67
Tc 0.0000 0.0000 0.3365 [2 per cell]  4 Ti 2.67, 4 Hf 2.81

Which structure is the most stable? The one labeled 1.

--- 1 ---
# HfTiTc

An optimized crystal structure of HfTiTc (PBE, Alexandria).

Lattice parameters (Å, degrees): 9.9847 4.4501 5.6778 90.00 124.00 90.00
Last column: nearest neighbours and their distance in Å.
Space group Cm (No. 8)
One atom of each set of equivalent atoms:
Hf 0.0000 0.0000 0.0000 [2 per cell]  4 Tc 2.79-2.84, 4 Ti 2.97-3.08, 1 Hf 3.04
Hf 0.1507 0.5000 0.8247 [2 per cell]  3 Tc 2.73-2.81, 5 Ti 2.86-3.05, 1 Hf 3.04
Ti 0.2043 0.5000 0.3791 [2 per cell]  3 Tc 2.63-2.65, 2 Hf 2.86-2.88
Ti 0.3535 0.0000 0.2162 [2 per cell]  4 Tc 2.66-2.98
Tc 0.0024 0.0000 0.5016 [2 per cell]  3 Ti 2.65-2.66, 4 Hf 2.73-2.84, 1 Tc 2.85
Tc 0.3297 0.0000 0.6695 [2 per cell]  3 Ti 2.63-2.71, 3 Hf 2.79-2.81, 1 Tc 2.85

--- 2 ---
# HfTiTc

An optimized crystal structure of HfTiTc (PBE, Alexandria).

Lattice parameters (Å, degrees): 5.1940 5.5163 7.3656 90.00 90.00 90.00
Last column: nearest neighbours and their distance in Å.
Space group Imma (No. 74)
One atom of each set of equivalent atoms:
Hf 0.0000 0.2500 0.1220 [4 per cell]  6 Tc 3.03-3.19, 6 Ti 3.07-3.11, 4 Hf 3.21-3.29
Ti 0.0000 0.0000 0.5000 [4 per cell]  4 Tc 2.64, 2 Ti 2.76
Tc 0.2500 0.2500 0.7500 [4 per cell]  2 Tc 2.60, 4 Ti 2.64

Which structure is the most stable? The one labeled 2.